[1]
An optimized crystal structure of YNbPb2, computed with PBE.

extended XYZ file:
```
8
Lattice="-4.057 4.057 3.252 4.057 -4.057 3.252 4.057 4.057 -3.252" Properties=species:S:1:pos:R:3 pbc="T T T"
Y 0.000 0.000 0.000
Y 0.000 4.057 1.626
Nb 4.057 0.000 1.626
Nb 0.000 0.000 3.252
Pb 2.029 2.202 -0.813
Pb 5.913 2.029 0.813
Pb 2.029 1.855 2.439
Pb -1.855 2.029 4.066
```

Results
For the magnetic moment, the calculation gives 0.0 μB/cell. As for the calculated total energy: -5.816 eV per atom. The space group is I-42d. The value obtained for the density of states at the Fermi level is 0.726 states/eV/cell.



[2]
An optimized crystal structure of Tb4CeNdEr2, computed with PBE.

extended XYZ file:
```
8
Lattice="5.037 0.000 0.000 0.000 5.037 0.000 0.000 0.000 10.054" Properties=species:S:1:pos:R:3 pbc="T T T"
Tb 0.000 2.518 2.481
Tb 0.000 2.518 7.573
Tb 2.518 0.000 2.481
Tb 2.518 0.000 7.573
Ce 0.000 0.000 0.000
Nd 2.518 2.518 5.027
Er 0.000 0.000 5.027
Er 2.518 2.518 0.000
```

Results
For the magnetic moment, the calculation gives 1.1 μB/cell. As for the calculated total energy: -4.746 eV per atom. The space group is P4/mmm. The value obtained for the density of states at the Fermi level is 13.833 states/eV/cell.



[3]
An optimized crystal structure of CsHfTlCl6, computed with PBE.

extended XYZ file:
```
18
Lattice="7.755 0.000 0.000 -3.878 6.716 0.000 0.000 0.000 13.641" Properties=species:S:1:pos:R:3 pbc="T T T"
Cs 0.000 0.000 0.000
Cs 0.000 0.000 6.821
Hf 0.000 4.478 3.410
Hf 3.878 2.239 10.231
Tl 0.000 4.478 10.231
Tl 3.878 2.239 3.410
Cl -1.039 2.754 1.981
Cl -2.012 4.440 4.839
Cl 1.039 2.754 4.839
Cl -0.973 6.239 1.981
Cl 2.904 0.477 8.802
Cl 1.866 2.277 11.660
Cl 2.012 4.440 1.981
Cl 0.973 6.239 4.839
Cl 4.851 0.477 11.660
Cl 2.839 3.962 8.802
Cl 5.890 2.277 8.802
Cl 4.917 3.962 11.660
```

Results
As for the formation energy without anion corrections: -1.768 eV per atom. For the magnetic moment, the calculation gives 0.0 μB/cell. The space group is P-31c. The value obtained for the density of states at the Fermi level is 0.000 states/eV/cell.



[4]
An optimized crystal structure of BaTlHg2Pt, computed with PBE.

extended XYZ file:
```
5
Lattice="5.387 0.000 0.000 0.000 5.387 0.000 0.000 0.000 5.908" Properties=species:S:1:pos:R:3 pbc="T T T"
Ba 0.000 0.000 0.000
Tl 2.694 2.694 0.000
Hg 0.000 2.694 2.954
Hg 2.694 0.000 2.954
Pt 0.000 0.000 2.954
```

Results
For the magnetic moment, the calculation gives 0.0 μB/cell. The space group is P4/mmm. For the relative energy among the computed polymorphs, the calculation gives 153.8 meV/atom. The value obtained for the density of states at the Fermi level is 3.150 states/eV/cell.



[5]
An optimized crystal structure of Pa2Tl3HgSe6, computed with PBE.

extended XYZ file:
```
12
Lattice="9.771 -2.123 0.000 9.771 2.123 0.000 -0.695 0.000 9.270" Properties=species:S:1:pos:R:3 pbc="T T T"
Pa 3.346 0.000 3.187
Pa 15.501 0.000 6.083
Tl 1.864 0.000 8.442
Tl 9.424 0.000 4.635
Tl 16.983 0.000 0.828
Hg 9.771 0.000 0.000
Se 0.797 0.000 2.505
Se 5.123 0.000 7.861
Se 6.101 0.000 4.132
Se 12.746 0.000 5.138
Se 13.724 0.000 1.410
Se 18.050 0.000 6.765
```

Results
As for the formation energy without anion corrections: -0.857 eV per atom. For the magnetic moment, the calculation gives 1.1 μB/cell. The space group is C2/m. The value obtained for the density of states at the Fermi level is 7.129 states/eV/cell.